# 1
Crystalline CdTe3F at its relaxed geometry. Source: the Alexandria database, functional GGA-PBEsol.

E_form (uncorrected): -0.013 eV per atom

The structure in CIF format:
```
data_CdTe3F
_space_group_name_H-M_alt 'P m -3 m'
_space_group_IT_number 221
_space_group_name_Hall '-P 4 2 3'
_cell_length_a 4.970
_cell_length_b 4.970
_cell_length_c 4.970
_cell_angle_alpha 90.00
_cell_angle_beta 90.00
_cell_angle_gamma 90.00
loop_
_atom_site_label
_atom_site_type_symbol
_atom_site_fract_x
_atom_site_fract_y
_atom_site_fract_z
Cd1 Cd 0.000 0.000 0.000
Te1 Te 0.000 0.500 0.500
F1 F 0.500 0.500 0.500
```

# 2
Crystalline Zn2CdTeF at its relaxed geometry. Source: the Alexandria database, functional GGA-PBEsol.

E_form (uncorrected): -0.242 eV per atom

The structure in CIF format:
```
data_Zn2CdTeF
_space_group_name_H-M_alt 'P 4/m m m'
_space_group_IT_number 123
_space_group_name_Hall '-P 4 2'
_cell_length_a 4.391
_cell_length_b 4.391
_cell_length_c 5.144
_cell_angle_alpha 90.00
_cell_angle_beta 90.00
_cell_angle_gamma 90.00
loop_
_atom_site_label
_atom_site_type_symbol
_atom_site_fract_x
_atom_site_fract_y
_atom_site_fract_z
Zn1 Zn 0.000 0.500 0.000
Cd1 Cd 0.000 0.000 0.500
Te1 Te 0.500 0.500 0.500
F1 F 0.000 0.000 0.000
```

# 3
Crystalline TiCdF2 at its relaxed geometry. Source: the Alexandria database, functional GGA-PBEsol.

Energy above the most stable polymorph in this dataset: 0 meV per atom
E_form (uncorrected): -2.000 eV per atom

The structure in CIF format:
```
data_TiCdF2
_space_group_name_H-M_alt 'R -3 m'
_space_group_IT_number 166
_space_group_name_Hall '-R 3 2"'
_cell_length_a 2.7901
_cell_length_b 2.7901
_cell_length_c 25.1960
_cell_angle_alpha 90.00
_cell_angle_beta 90.00
_cell_angle_gamma 120.00
loop_
_atom_site_label
_atom_site_type_symbol
_atom_site_fract_x
_atom_site_fract_y
_atom_site_fract_z
Ti1 Ti 0.0000 0.0000 0.0000
Cd1 Cd 0.0000 0.0000 0.5000
F1 F 0.0000 0.0000 0.3887
```

# 4
Crystalline TiCdF2 at its relaxed geometry. Source: the Alexandria database, functional GGA-PBEsol.

Energy above the most stable polymorph in this dataset: 354 meV per atom
E_form (uncorrected): -1.646 eV per atom

The structure in CIF format:
```
data_TiCdF2
_space_group_name_H-M_alt 'I 41/a m d'
_space_group_IT_number 141
_cell_length_a 5.221
_cell_length_b 5.221
_cell_length_c 11.656
_cell_angle_alpha 90.00
_cell_angle_beta 90.00
_cell_angle_gamma 90.00
loop_
_space_group_symop_operation_xyz
'x,y,z'
'-x,-y,-z'
'-y+1/4,x+3/4,z+1/4'
'y+1/4,-x+3/4,-z+1/4'
'-x+1/2,-y,z+1/2'
'x+1/2,y,-z+1/2'
'y+1/4,-x+1/4,z+3/4'
'-y+1/4,x+1/4,-z+3/4'
'x,-y,-z'
'-x,y,z'
'-y+1/4,-x+1/4,-z+3/4'
'y+1/4,x+1/4,z+3/4'
'-x+1/2,y,-z+1/2'
'x+1/2,-y,z+1/2'
'y+1/4,x+3/4,-z+1/4'
'-y+1/4,-x+3/4,z+1/4'
'x+1/2,y+1/2,z+1/2'
'-x+1/2,-y+1/2,-z+1/2'
'-y+3/4,x+1/4,z+3/4'
'y+3/4,-x+1/4,-z+3/4'
'-x,-y+1/2,z'
'x,y+1/2,-z'
'y+3/4,-x+3/4,z+1/4'
'-y+3/4,x+3/4,-z+1/4'
'x+1/2,-y+1/2,-z+1/2'
'-x+1/2,y+1/2,z+1/2'
'-y+3/4,-x+3/4,-z+1/4'
'y+3/4,x+3/4,z+1/4'
'-x,y+1/2,-z'
'x,-y+1/2,z'
'y+3/4,x+1/4,-z+3/4'
'-y+3/4,-x+1/4,z+3/4'
loop_
_atom_site_label
_atom_site_type_symbol
_atom_site_fract_x
_atom_site_fract_y
_atom_site_fract_z
Ti1 Ti 0.000 0.250 0.375
Cd1 Cd 0.000 0.250 0.875
F1 F 0.000 0.000 0.500
```

# 5
Crystalline ZrTlCdF7 at its relaxed geometry. Source: the Alexandria database, functional GGA-PBEsol.

E_form (uncorrected): -2.916 eV per atom

The structure in CIF format:
```
data_ZrTlCdF7
_space_group_name_H-M_alt 'C m c m'
_space_group_IT_number 63
_space_group_name_Hall '-C 2c 2'
_cell_length_a 6.840
_cell_length_b 11.020
_cell_length_c 8.493
_cell_angle_alpha 90.00
_cell_angle_beta 90.00
_cell_angle_gamma 90.00
loop_
_atom_site_label
_atom_site_type_symbol
_atom_site_fract_x
_atom_site_fract_y
_atom_site_fract_z
Zr1 Zr 0.000 0.194 0.250
Tl1 Tl 0.000 0.500 0.000
Cd1 Cd 0.000 0.192 0.750
F1 F 0.000 0.010 0.250
F2 F 0.000 0.205 0.013
F3 F 0.177 0.350 0.250
F4 F 0.205 0.359 0.750
```

# 6
Crystalline CdW2F at its relaxed geometry. Source: the Alexandria database, functional GGA-PBEsol.

E_form (uncorrected): 0.982 eV per atom

The structure in CIF format:
```
data_CdW2F
_space_group_name_H-M_alt 'F m -3 m'
_space_group_IT_number 225
_space_group_name_Hall '-F 4 2 3'
_cell_length_a 6.217
_cell_length_b 6.217
_cell_length_c 6.217
_cell_angle_alpha 90.00
_cell_angle_beta 90.00
_cell_angle_gamma 90.00
loop_
_atom_site_label
_atom_site_type_symbol
_atom_site_fract_x
_atom_site_fract_y
_atom_site_fract_z
Cd1 Cd 0.000 0.000 0.000
W1 W 0.250 0.250 0.250
F1 F 0.000 0.000 0.500
```

# 7
Crystalline Cd3WF at its relaxed geometry. Source: the Alexandria database, functional GGA-PBEsol.

E_form (uncorrected): 0.422 eV per atom

The structure in CIF format:
```
data_Cd3WF
_space_group_name_H-M_alt 'P m -3 m'
_space_group_IT_number 221
_space_group_name_Hall '-P 4 2 3'
_cell_length_a 4.477
_cell_length_b 4.477
_cell_length_c 4.477
_cell_angle_alpha 90.00
_cell_angle_beta 90.00
_cell_angle_gamma 90.00
loop_
_atom_site_label
_atom_site_type_symbol
_atom_site_fract_x
_atom_site_fract_y
_atom_site_fract_z
Cd1 Cd 0.000 0.000 0.500
W1 W 0.500 0.500 0.500
F1 F 0.000 0.000 0.000
```

# 8
Crystalline Y2CdF2 at its relaxed geometry. Source: the Alexandria database, functional GGA-PBEsol.

E_form (uncorrected): -2.316 eV per atom

The structure in CIF format:
```
data_Y2CdF2
_space_group_name_H-M_alt 'I 4/m m m'
_space_group_IT_number 139
_space_group_name_Hall '-I 4 2'
_cell_length_a 3.639
_cell_length_b 3.639
_cell_length_c 13.704
_cell_angle_alpha 90.00
_cell_angle_beta 90.00
_cell_angle_gamma 90.00
loop_
_atom_site_label
_atom_site_type_symbol
_atom_site_fract_x
_atom_site_fract_y
_atom_site_fract_z
Y1 Y 0.000 0.000 0.140
Cd1 Cd 0.000 0.000 0.500
F1 F 0.000 0.500 0.250
```

# 9
Crystalline YCdF3 at its relaxed geometry. Source: the Alexandria database, functional GGA-PBEsol.

E_form (uncorrected): -2.993 eV per atom

The structure in CIF format:
```
data_YCdF3
_space_group_name_H-M_alt 'P m -3 m'
_space_group_IT_number 221
_space_group_name_Hall '-P 4 2 3'
_cell_length_a 4.428
_cell_length_b 4.428
_cell_length_c 4.428
_cell_angle_alpha 90.00
_cell_angle_beta 90.00
_cell_angle_gamma 90.00
loop_
_atom_site_label
_atom_site_type_symbol
_atom_site_fract_x
_atom_site_fract_y
_atom_site_fract_z
Y1 Y 0.000 0.000 0.000
Cd1 Cd 0.500 0.500 0.500
F1 F 0.000 0.000 0.500
```

# 10
Crystalline ZnCdF3 at its relaxed geometry. Source: the Alexandria database, functional GGA-PBEsol.

E_form (uncorrected): -1.783 eV per atom

The structure in CIF format:
```
data_ZnCdF3
_space_group_name_H-M_alt 'P m -3 m'
_space_group_IT_number 221
_space_group_name_Hall '-P 4 2 3'
_cell_length_a 4.046
_cell_length_b 4.046
_cell_length_c 4.046
_cell_angle_alpha 90.00
_cell_angle_beta 90.00
_cell_angle_gamma 90.00
loop_
_atom_site_label
_atom_site_type_symbol
_atom_site_fract_x
_atom_site_fract_y
_atom_site_fract_z
Zn1 Zn 0.000 0.000 0.000
Cd1 Cd 0.500 0.500 0.500
F1 F 0.000 0.000 0.500
```

# 11
Crystalline Cd3Fe at its relaxed geometry. Source: the Alexandria database, functional GGA-PBEsol.

DFT formation energy: 215 meV/atom

The structure in CIF format:
```
data_Cd3Fe
_space_group_name_H-M_alt 'P 4/m m m'
_space_group_IT_number 123
_space_group_name_Hall '-P 4 2'
_cell_length_a 2.893
_cell_length_b 2.893
_cell_length_c 8.445
_cell_angle_alpha 90.00
_cell_angle_beta 90.00
_cell_angle_gamma 90.00
loop_
_atom_site_label
_atom_site_type_symbol
_atom_site_fract_x
_atom_site_fract_y
_atom_site_fract_z
Cd1 Cd 0.000 0.000 0.000
Cd2 Cd 0.500 0.500 0.278
Fe1 Fe 0.000 0.000 0.500
```

# 12
Crystalline Cd3Fe at its relaxed geometry. Source: the Alexandria database, functional GGA-PBEsol.

DFT formation energy: 275 meV/atom

The structure in CIF format:
```
data_Cd3Fe
_space_group_name_H-M_alt 'P m m m'
_space_group_IT_number 47
_cell_length_a 2.911
_cell_length_b 3.978
_cell_length_c 6.074
_cell_angle_alpha 90.00
_cell_angle_beta 90.00
_cell_angle_gamma 90.00
loop_
_space_group_symop_operation_xyz
'x,y,z'
'-x,-y,-z'
'-x,-y,z'
'x,y,-z'
'x,-y,-z'
'-x,y,z'
'-x,y,-z'
'x,-y,z'
loop_
_atom_site_label
_atom_site_type_symbol
_atom_site_fract_x
_atom_site_fract_y
_atom_site_fract_z
Cd1 Cd 0.000 0.000 0.000
Cd2 Cd 0.500 0.500 0.271
Fe1 Fe 0.000 0.000 0.500
```

# 13
Crystalline Cd3Fe at its relaxed geometry. Source: the Alexandria database, functional GGA-PBEsol.

DFT formation energy: 820 meV/atom

The structure in CIF format:
```
data_Cd3Fe
_space_group_name_H-M_alt 'P m -3 m'
_space_group_IT_number 221
_space_group_name_Hall '-P 4 2 3'
_cell_length_a 5.012
_cell_length_b 5.012
_cell_length_c 5.012
_cell_angle_alpha 90.00
_cell_angle_beta 90.00
_cell_angle_gamma 90.00
loop_
_atom_site_label
_atom_site_type_symbol
_atom_site_fract_x
_atom_site_fract_y
_atom_site_fract_z
Cd1 Cd 0.000 0.000 0.500
Fe1 Fe 0.000 0.000 0.000
```

# 14
Crystalline CdFeH2 at its relaxed geometry. Source: the Alexandria database, functional GGA-PBEsol.

Total DFT energy (no corrections): -3.91 eV/atom

The structure in CIF format:
```
data_CdFeH2
_space_group_name_H-M_alt 'I -4 2 d'
_space_group_IT_number 122
_space_group_name_Hall 'I -4 2bw'
_cell_length_a 4.159
_cell_length_b 4.159
_cell_length_c 8.583
_cell_angle_alpha 90.00
_cell_angle_beta 90.00
_cell_angle_gamma 90.00
loop_
_atom_site_label
_atom_site_type_symbol
_atom_site_fract_x
_atom_site_fract_y
_atom_site_fract_z
Cd1 Cd 0.000 0.000 0.000
Fe1 Fe 0.000 0.000 0.500
H1 H 0.135 0.250 0.625
```

# 15
Crystalline HfCd2Fe at its relaxed geometry. Source: the Alexandria database, functional GGA-PBEsol.

DFT formation energy: 281 meV/atom

The structure in CIF format:
```
data_HfCd2Fe
_space_group_name_H-M_alt 'F m -3 m'
_space_group_IT_number 225
_space_group_name_Hall '-F 4 2 3'
_cell_length_a 6.557
_cell_length_b 6.557
_cell_length_c 6.557
_cell_angle_alpha 90.00
_cell_angle_beta 90.00
_cell_angle_gamma 90.00
loop_
_atom_site_label
_atom_site_type_symbol
_atom_site_fract_x
_atom_site_fract_y
_atom_site_fract_z
Hf1 Hf 0.000 0.000 0.000
Cd1 Cd 0.250 0.250 0.250
Fe1 Fe 0.000 0.000 0.500
```

# 16
Crystalline CdFe2Hg at its relaxed geometry. Source: the Alexandria database, functional GGA-PBEsol.

DFT formation energy: 327 meV/atom

The structure in CIF format:
```
data_CdFe2Hg
_space_group_name_H-M_alt 'C 1 m 1'
_space_group_IT_number 8
_cell_length_a 10.111
_cell_length_b 3.004
_cell_length_c 4.567
_cell_angle_alpha 90.00
_cell_angle_beta 116.68
_cell_angle_gamma 90.00
loop_
_space_group_symop_operation_xyz
'x,y,z'
'x,-y,z'
'x+1/2,y+1/2,z'
'x+1/2,-y+1/2,z'
loop_
_atom_site_label
_atom_site_type_symbol
_atom_site_fract_x
_atom_site_fract_y
_atom_site_fract_z
Cd1 Cd 0.000 0.000 0.000
Fe1 Fe 0.040 0.500 0.539
Fe2 Fe 0.234 0.000 0.736
Hg1 Hg 0.279 0.500 0.280
```

# 17
Crystalline CdFeHg at its relaxed geometry. Source: the Alexandria database, functional GGA-PBEsol.

DFT formation energy: 434 meV/atom

The structure in CIF format:
```
data_CdFeHg
_space_group_name_H-M_alt 'P 3 m 1'
_space_group_IT_number 156
_cell_length_a 4.5523
_cell_length_b 4.5523
_cell_length_c 2.9154
_cell_angle_alpha 90.00
_cell_angle_beta 90.00
_cell_angle_gamma 120.00
loop_
_space_group_symop_operation_xyz
'x,y,z'
'-y,x-y,z'
'-x+y,-x,z'
'-y,-x,z'
'-x+y,y,z'
'x,x-y,z'
loop_
_atom_site_label
_atom_site_type_symbol
_atom_site_fract_x
_atom_site_fract_y
_atom_site_fract_z
Cd1 Cd 0.0000 0.0000 0.0000
Fe1 Fe 0.6667 0.3333 0.3871
Hg1 Hg 0.3333 0.6667 0.6433
```

# 18
Crystalline CdFeHg3 at its relaxed geometry. Source: the Alexandria database, functional GGA-PBEsol.

DFT formation energy: 497 meV/atom

The structure in CIF format:
```
data_CdFeHg3
_space_group_name_H-M_alt 'P m -3 m'
_space_group_IT_number 221
_space_group_name_Hall '-P 4 2 3'
_cell_length_a 4.994
_cell_length_b 4.994
_cell_length_c 4.994
_cell_angle_alpha 90.00
_cell_angle_beta 90.00
_cell_angle_gamma 90.00
loop_
_atom_site_label
_atom_site_type_symbol
_atom_site_fract_x
_atom_site_fract_y
_atom_site_fract_z
Cd1 Cd 0.000 0.000 0.000
Fe1 Fe 0.500 0.500 0.500
Hg1 Hg 0.000 0.500 0.500
```

# 19
Crystalline Cd3FeI at its relaxed geometry. Source: the Alexandria database, functional GGA-PBEsol.

E_form (uncorrected): 0.515 eV per atom

The structure in CIF format:
```
data_Cd3FeI
_space_group_name_H-M_alt 'P m -3 m'
_space_group_IT_number 221
_space_group_name_Hall '-P 4 2 3'
_cell_length_a 5.128
_cell_length_b 5.128
_cell_length_c 5.128
_cell_angle_alpha 90.00
_cell_angle_beta 90.00
_cell_angle_gamma 90.00
loop_
_atom_site_label
_atom_site_type_symbol
_atom_site_fract_x
_atom_site_fract_y
_atom_site_fract_z
Cd1 Cd 0.000 0.000 0.500
Fe1 Fe 0.000 0.000 0.000
I1 I 0.500 0.500 0.500
```

# 20
Crystalline CdFeI2O at its relaxed geometry. Source: the Alexandria database, functional GGA-PBEsol.

E_form (uncorrected): 0.537 eV per atom

The structure in CIF format:
```
data_CdFeI2O
_space_group_name_H-M_alt 'P 4/m m m'
_space_group_IT_number 123
_space_group_name_Hall '-P 4 2'
_cell_length_a 5.767
_cell_length_b 5.767
_cell_length_c 3.972
_cell_angle_alpha 90.00
_cell_angle_beta 90.00
_cell_angle_gamma 90.00
loop_
_atom_site_label
_atom_site_type_symbol
_atom_site_fract_x
_atom_site_fract_y
_atom_site_fract_z
Cd1 Cd 0.000 0.000 0.000
Fe1 Fe 0.500 0.500 0.500
I1 I 0.000 0.500 0.000
O1 O 0.000 0.000 0.500
```